## RhW2F (PBE+U)

Data for a relaxed RhW2F crystal.

## Properties
total energy = -85.10 eV for the cell shown
V = 59 Å³/f.u.

```
data_RhW2F
_space_group_name_H-M_alt 'F m -3 m'
_space_group_IT_number 225
_space_group_name_Hall '-F 4 2 3'
_cell_length_a 6.178
_cell_length_b 6.178
_cell_length_c 6.178
_cell_angle_alpha 90.00
_cell_angle_beta 90.00
_cell_angle_gamma 90.00
loop_
_atom_site_label
_atom_site_type_symbol
_atom_site_fract_x
_atom_site_fract_y
_atom_site_fract_z
Rh1 Rh 0.000 0.000 0.000
W1 W 0.250 0.250 0.250
F1 F 0.000 0.000 0.500
```

---

## CsCaMnF6 (PBE+U)

Data for a relaxed CsCaMnF6 crystal.

## Properties
total energy = -47.82 eV for the cell shown
V = 181 Å³/f.u.

```
data_CsCaMnF6
_space_group_name_H-M_alt 'P 1'
_space_group_IT_number 1
_cell_length_a 5.733
_cell_length_b 5.739
_cell_length_c 6.357
_cell_angle_alpha 90.01
_cell_angle_beta 90.03
_cell_angle_gamma 119.87
loop_
_space_group_symop_operation_xyz
'x,y,z'
loop_
_atom_site_label
_atom_site_type_symbol
_atom_site_fract_x
_atom_site_fract_y
_atom_site_fract_z
Cs1 Cs 0.000 0.000 0.000
Ca1 Ca 0.667 0.335 0.500
Mn1 Mn 0.333 0.667 0.500
F1 F 0.041 0.400 0.675
F2 F 0.043 0.643 0.327
F3 F 0.354 0.401 0.327
F4 F 0.354 0.957 0.670
F5 F 0.596 0.642 0.675
F6 F 0.599 0.959 0.325
```

---

DOS(E_F) (states/eV/f.u.)
3.77 0.00